Ac2TbVO6: relaxed, PBE with a Hubbard U.

DOS at the Fermi energy: 0.0000 states/eV/atom
calculated total energy: -162.001 eV for the cell shown

a = 5.8733 Å, b = 5.9900 Å, c = 10.2285 Å
α = 90.00°, β = 124.55°, γ = 90.00°
Space group P2_1/c (No. 14)
Asymmetric unit:
Ac (0.2381, 0.0449, 0.2495) x4
Tb (0.5000, 0.0000, 0.0000) x2
V (0.0000, 0.0000, 0.5000) x2
O (0.1413, 0.2175, 0.9488) x4
O (0.2327, 0.6962, 0.9510) x4
O (0.3337, 0.0308, 0.7396) x4